# HIrSe3, optimized geometry, DFT PBE
# DFT total energy ... -45.9 eV per cell
# Mass density ... 7.1 g/cm3
# Offset from the most stable computed form ... 78 meV per atom
data_HIrSe3
_cell_length_a 4.861
_cell_length_b 6.444
_cell_length_c 7.066
_cell_angle_alpha 70.64
_cell_angle_beta 86.86
_cell_angle_gamma 75.13
_space_group_name_H-M_alt 'P 1'
_space_group_IT_number 1
loop_
_space_group_symop_operation_xyz
'x,y,z'
loop_
_atom_site_label
_atom_site_fract_x
_atom_site_fract_y
_atom_site_fract_z
H1 0.000 0.000 0.000
H2 0.320 0.067 0.112
Ir1 0.077 0.257 0.962
Ir2 0.855 0.881 0.850
Se1 0.126 0.007 0.551
Se2 0.285 0.560 0.980
Se3 0.410 0.191 0.703
Se4 0.683 0.603 0.734
Se5 0.752 0.704 0.216
Se6 0.794 0.310 0.250

# LaSm3Er5, optimized geometry, DFT PBE
# DFT total energy ... -74.8 eV per cell
# ΔH_f (0 K) ... 0.501 eV per atom
# Mass density ... 7.2 g/cm3
# Offset from the most stable computed form ... 183 meV per atom
data_LaSm3Er5
_cell_length_a 9.521
_cell_length_b 9.521
_cell_length_c 9.944
_cell_angle_alpha 121.34
_cell_angle_beta 121.34
_cell_angle_gamma 73.02
_space_group_name_H-M_alt 'P 1'
_space_group_IT_number 1
loop_
_space_group_symop_operation_xyz
'x,y,z'
loop_
_atom_site_label
_atom_site_fract_x
_atom_site_fract_y
_atom_site_fract_z
La1 0.246 0.246 0.409
La2 0.754 0.754 0.591
Sm1 0.000 0.000 0.000
Sm2 0.022 0.022 0.362
Sm3 0.492 0.492 0.190
Sm4 0.500 0.500 0.500
Sm5 0.508 0.508 0.810
Sm6 0.978 0.978 0.638
Er1 0.100 0.604 0.248
Er2 0.226 0.226 0.043
Er3 0.260 0.740 0.000
Er4 0.281 0.281 0.778
Er5 0.396 0.900 0.752
Er6 0.604 0.100 0.248
Er7 0.719 0.719 0.222
Er8 0.740 0.260 0.000
Er9 0.774 0.774 0.957
Er10 0.900 0.396 0.752